Record 1
Density functional theory data (PBE-GGA) for a relaxed AlSbAs2Br crystal.

Output
ΔE_f (raw) = 0.678 eV/atom
Excess energy over the best structure of this formula in the dataset = 1.94 eV/f.u.
Total magnetization = 0.8 μB/f.u.
Symmetry = P4/mmm, No. 123
Crystal system = tetragonal

Unit cell a=5.327 b=5.327 c=5.746 alpha=90.00 beta=90.00 gamma=90.00
Positions (direct):
Al  0.000  0.000  0.000
Sb  0.500  0.500  0.500
As  0.000  0.500  0.500
As  0.500  0.000  0.500
Br  0.500  0.500  0.000



Record 2
Density functional theory data (PBE-GGA) for a relaxed CsCdAs3 crystal.

Output
Excess energy over the best structure of this formula in the dataset = 5.97 eV/f.u.
Total magnetization = 0.0 μB/f.u.
Symmetry = Pm-3m, No. 221
Crystal system = cubic

Unit cell a=5.803 b=5.803 c=5.803 alpha=90.00 beta=90.00 gamma=90.00
Positions (direct):
Cs  0.000  0.000  0.000
Cd  0.500  0.500  0.500
As  0.000  0.000  0.500
As  0.000  0.500  0.000
As  0.500  0.000  0.000



Record 3
Density functional theory data (PBE-GGA) for a relaxed EuCuSe2 crystal.

Output
ΔE_f (raw) = -0.900 eV/atom
Total magnetization = 6.1 μB/f.u.
Symmetry = R-3m, No. 166
Crystal system = trigonal

Unit cell a=7.882 b=7.882 c=7.882 alpha=33.24 beta=33.24 gamma=33.24
Positions (direct):
Eu  0.000  0.000  0.000
Cu  0.500  0.500  0.500
Se  0.400  0.400  0.400
Se  0.600  0.600  0.600



Record 4
Density functional theory data (PBE-GGA) for a relaxed Ca2HoZrP4 crystal.

Output
Raw total energy = -6.08 eV/atom
Total magnetization = 0.0 μB/f.u.
Symmetry = P2/m, No. 10
Crystal system = monoclinic

Unit cell a=6.853 b=3.935 c=7.038 alpha=90.00 beta=108.71 gamma=90.00
Positions (direct):
Ca  0.000  0.000  0.000
Ca  0.500  0.500  0.000
Ho  0.000  0.500  0.500
Zr  0.500  0.000  0.500
P  0.255  0.000  0.731
P  0.268  0.500  0.274
P  0.732  0.500  0.726
P  0.745  0.000  0.269



Record 5
Density functional theory data (PBE-GGA) for a relaxed NaIn2HgTe4 crystal.

Output
ΔE_f (raw) = -0.358 eV/atom
Total magnetization = 0.0 μB/f.u.
Symmetry = I-42m, No. 121
Crystal system = tetragonal

Unit cell a=8.271 b=8.271 c=8.271 alpha=130.80 beta=130.80 gamma=72.13
Positions (direct):
Na  0.000  0.000  0.000
In  0.250  0.750  0.500
In  0.750  0.250  0.500
Hg  0.500  0.500  0.000
Te  0.132  0.609  0.000
Te  0.391  0.391  0.523
Te  0.609  0.132  0.000
Te  0.868  0.868  0.477



Record 6
Density functional theory data (PBE-GGA) for a relaxed Na2CaTl5 crystal.

Output
Excess energy over the best structure of this formula in the dataset = 0.27 eV/f.u.
Total magnetization = 0.0 μB/f.u.
Symmetry = I4/mcm, No. 140
Crystal system = tetragonal

Unit cell a=8.849 b=8.849 c=8.849 alpha=122.55 beta=122.55 gamma=85.63
Positions (direct):
Na  0.149  0.649  0.797
Na  0.351  0.149  0.500
Na  0.649  0.851  0.500
Na  0.851  0.351  0.203
Ca  0.250  0.250  0.000
Ca  0.750  0.750  0.000
Tl  0.000  0.000  0.000
Tl  0.014  0.811  0.500
Tl  0.189  0.689  0.203
Tl  0.311  0.514  0.500
Tl  0.486  0.986  0.797
Tl  0.500  0.500  0.000
Tl  0.514  0.014  0.203
Tl  0.689  0.486  0.500
Tl  0.811  0.311  0.797
Tl  0.986  0.189  0.500



Record 7
Density functional theory data (PBE-GGA) for a relaxed La8TbHo5 crystal.

Output
Raw total energy = -4.62 eV/atom
Total magnetization = 0.0 μB/f.u.
Symmetry = P1, No. 1
Crystal system = triclinic

Unit cell a=8.654 b=8.657 c=8.716 alpha=114.23 beta=115.71 gamma=98.60
Positions (direct):
La  0.000  0.000  0.000
La  0.001  0.683  0.564
La  0.394  0.494  0.323
La  0.437  0.119  0.555
La  0.556  0.555  0.991
La  0.608  0.188  0.231
La  0.740  0.959  0.512
La  0.884  0.345  0.042
Tb  0.001  0.841  0.278
Ho  0.129  0.341  0.524
Ho  0.222  0.157  0.817
Ho  0.254  0.723  0.031
Ho  0.489  0.830  0.777
Ho  0.777  0.522  0.737



Record 8
Density functional theory data (PBE-GGA) for a relaxed Tb4HoEr10 crystal.

Output
Raw total energy = -3.84 eV/atom
Total magnetization = 0.0 μB/f.u.
Symmetry = I4/m, No. 87
Crystal system = tetragonal

Unit cell a=9.327 b=9.327 c=9.327 alpha=99.57 beta=99.57 gamma=131.88
Positions (direct):
Tb  0.101  0.299  0.400
Tb  0.299  0.899  0.199
Tb  0.701  0.101  0.801
Tb  0.899  0.701  0.600
Ho  0.500  0.500  0.000
Er  0.051  0.151  0.701
Er  0.151  0.451  0.101
Er  0.250  0.750  0.500
Er  0.350  0.051  0.899
Er  0.451  0.350  0.299
Er  0.549  0.650  0.701
Er  0.650  0.949  0.101
Er  0.750  0.250  0.500
Er  0.849  0.549  0.899
Er  0.949  0.849  0.299